# CaAl2Br

A relaxed CaAl2Br crystal (GGA-PBE, Alexandria via LeMat-Bulk).

Results
ΔE to the lowest computed polymorph = 711.0 meV/atom
Spin magnetization = 0.0 μB/f.u.

a = 5.343 Å, b = 5.343 Å, c = 5.343 Å
α = 60.00°, β = 60.00°, γ = 60.00°
Fractional coordinates of all 4 atoms:
Ca (0.000, 0.000, 0.000)
Al (0.250, 0.250, 0.250)
Al (0.750, 0.750, 0.750)
Br (0.500, 0.500, 0.500)

=====

# CaAl2Br

A relaxed CaAl2Br crystal (GGA-PBE, Alexandria via LeMat-Bulk).

Results
ΔE to the lowest computed polymorph = 540.4 meV/atom
Spin magnetization = 0.0 μB/f.u.

a = 3.394 Å, b = 3.394 Å, c = 9.270 Å
α = 90.00°, β = 90.00°, γ = 110.20°
Fractional coordinates of all 4 atoms:
Ca (0.500, 0.500, 0.750)
Al (0.000, 0.000, 0.013)
Al (0.000, 0.000, 0.487)
Br (0.500, 0.500, 0.250)

=====

# CaAlBr2

A relaxed CaAlBr2 crystal (GGA-PBE, Alexandria via LeMat-Bulk).

Results
ΔE to the lowest computed polymorph = 0.0 meV/atom
Spin magnetization = 0.0 μB/f.u.

a = 10.436 Å, b = 10.436 Å, c = 10.436 Å
α = 22.21°, β = 22.21°, γ = 22.21°
Fractional coordinates of all 4 atoms:
Ca (0.500, 0.500, 0.500)
Al (0.000, 0.000, 0.000)
Br (0.889, 0.889, 0.889)
Br (0.111, 0.111, 0.111)

=====

# CaAlBr3

A relaxed CaAlBr3 crystal (GGA-PBE, Alexandria via LeMat-Bulk).

Results
Spin magnetization = 0.0 μB/f.u.
VASP energy = -14.590 eV per cell

a = 5.391 Å, b = 5.391 Å, c = 5.391 Å
α = 90.00°, β = 90.00°, γ = 90.00°
Fractional coordinates of all 5 atoms:
Ca (0.500, 0.500, 0.500)
Al (0.000, 0.000, 0.000)
Br (0.000, 0.500, 0.000)
Br (0.000, 0.000, 0.500)
Br (0.500, 0.000, 0.000)

=====

# Ca2AlBr

A relaxed Ca2AlBr crystal (GGA-PBE, Alexandria via LeMat-Bulk).

Results
ΔE to the lowest computed polymorph = 369.2 meV/atom
Spin magnetization = 2.0 μB/f.u.

a = 5.481 Å, b = 5.481 Å, c = 5.481 Å
α = 60.00°, β = 60.00°, γ = 60.00°
Site moments in Bohr magnetons follow the coordinates.
Fractional coordinates of all 4 atoms:
Ca (0.250, 0.250, 0.250)  0.12
Ca (0.750, 0.750, 0.750)  0.12
Al (0.000, 0.000, 0.000)  0.17
Br (0.500, 0.500, 0.500)  0.13

=====

# CaAl2Br

A relaxed CaAl2Br crystal (GGA-PBE, Alexandria via LeMat-Bulk).

Results
ΔE to the lowest computed polymorph = 0.0 meV/atom
Spin magnetization = 0.0 μB/f.u.

a = 4.437 Å, b = 4.437 Å, c = 8.287 Å
α = 76.26°, β = 76.26°, γ = 59.94°
Fractional coordinates of all 4 atoms:
Ca (0.265, 0.265, 0.214)
Al (0.013, 0.013, 0.941)
Al (0.680, 0.680, 0.938)
Br (0.542, 0.542, 0.407)

=====

# Ca2AlBr

A relaxed Ca2AlBr crystal (GGA-PBE, Alexandria via LeMat-Bulk).

Results
ΔE to the lowest computed polymorph = 123.0 meV/atom
Spin magnetization = 0.0 μB/f.u.

a = 4.378 Å, b = 4.375 Å, c = 6.340 Å
α = 90.00°, β = 90.00°, γ = 90.00°
Fractional coordinates of all 4 atoms:
Ca (0.000, 0.000, 0.876)
Ca (0.500, 0.500, 0.374)
Al (0.000, 0.000, 0.376)
Br (0.500, 0.500, 0.875)

=====

# Ca2AlBr

A relaxed Ca2AlBr crystal (GGA-PBE, Alexandria via LeMat-Bulk).

Results
ΔE to the lowest computed polymorph = 0.0 meV/atom
Spin magnetization = 0.0 μB/f.u.

a = 3.673 Å, b = 3.819 Å, c = 8.543 Å
α = 89.83°, β = 90.00°, γ = 90.00°
Fractional coordinates of all 4 atoms:
Ca (0.000, 0.752, 0.029)
Ca (0.000, 0.748, 0.471)
Al (0.500, 0.250, 0.250)
Br (0.500, 0.750, 0.750)

=====

# CaAl4Br

A relaxed CaAl4Br crystal (GGA-PBE, Alexandria via LeMat-Bulk).

Results
Spin magnetization = 0.0 μB/f.u.
VASP energy = -19.056 eV per cell

a = 5.715 Å, b = 5.715 Å, c = 5.715 Å
α = 60.00°, β = 60.00°, γ = 60.00°
Fractional coordinates of all 6 atoms:
Ca (0.000, 0.000, 0.000)
Al (0.878, 0.374, 0.374)
Al (0.374, 0.374, 0.878)
Al (0.374, 0.878, 0.374)
Al (0.374, 0.374, 0.374)
Br (0.750, 0.750, 0.750)

=====

# CaAl2Br

A relaxed CaAl2Br crystal (GGA-PBE, Alexandria via LeMat-Bulk).

Results
ΔE to the lowest computed polymorph = 444.8 meV/atom
Spin magnetization = 0.0 μB/f.u.

a = 8.787 Å, b = 8.787 Å, c = 6.833 Å
α = 49.99°, β = 49.99°, γ = 90.00°
Fractional coordinates of all 8 atoms:
Ca (0.500, 0.500, 0.000)
Ca (0.250, 0.750, 0.500)
Al (0.638, 0.125, 0.250)
Al (0.112, 0.625, 0.250)
Al (0.375, 0.362, 0.750)
Al (0.875, 0.888, 0.750)
Br (0.000, 0.000, 0.000)
Br (0.750, 0.250, 0.500)

=====

# CaAl2Br

A relaxed CaAl2Br crystal (GGA-PBE, Alexandria via LeMat-Bulk).

Results
ΔE to the lowest computed polymorph = 144.6 meV/atom
Spin magnetization = 0.0 μB/f.u.

a = 6.849 Å, b = 6.849 Å, c = 6.849 Å
α = 148.45°, β = 143.04°, γ = 49.37°
Fractional coordinates of all 4 atoms:
Ca (0.250, 0.750, 0.500)
Al (0.004, 0.004, 0.000)
Al (0.496, 0.496, 0.000)
Br (0.750, 0.250, 0.500)

=====

# CaAl2Br

A relaxed CaAl2Br crystal (GGA-PBE, Alexandria via LeMat-Bulk).

Results
ΔE to the lowest computed polymorph = 14.6 meV/atom
Spin magnetization = 0.0 μB/f.u.

a = 3.774 Å, b = 3.554 Å, c = 9.263 Å
α = 67.53°, β = 90.00°, γ = 90.00°
Fractional coordinates of all 4 atoms:
Ca (0.500, 0.743, 0.757)
Al (0.000, 0.968, 0.032)
Al (0.500, 0.370, 0.130)
Br (0.000, 0.419, 0.581)